No. 1
Compound: BaTi4Bi4O15
Source: Alexandria
Functional: SCAN
Structure: single point on PBEsol structure

abc: 3.8554 3.8554 20.2649
angles: 95.46 95.46 90.00
Element x y z (fractional)
1 O 0.2500 0.7500 0.5000
2 Ti 0.5511 0.5511 0.1022
3 O 0.5986 0.5986 0.1971
4 O 0.5000 0.5000 0.0000
5 O 0.4484 0.9484 0.8968
6 Bi 0.2189 0.2189 0.4379
7 Ti 0.3476 0.3476 0.6952
8 Bi 0.1037 0.1037 0.2074
9 O 0.3033 0.3033 0.6067
10 O 0.6428 0.1428 0.2856
11 O 0.5516 0.0516 0.1032
12 Bi 0.7811 0.7811 0.5621
13 O 0.8572 0.3572 0.7144
14 Bi 0.8963 0.8963 0.7926
15 Ba 0.0000 0.0000 0.0000
16 O 0.6967 0.6967 0.3933
17 O 0.9484 0.4484 0.8968
18 O 0.7500 0.2500 0.5000
19 O 0.3572 0.8572 0.7144
20 O 0.1428 0.6428 0.2856
21 O 0.4014 0.4014 0.8029
22 Ti 0.4489 0.4489 0.8978
23 O 0.0516 0.5516 0.1032
24 Ti 0.6524 0.6524 0.3048

E_tot (eV/atom): -23.714
Formation energy from raw total energies (eV per formula unit): -57.7
Magnetic moment (μB/cell): 0.000

=====

No. 2
Compound: Ba2Ti5Bi4O18
Source: Alexandria
Functional: SCAN
Structure: single point on PBEsol structure

abc: 3.8849 3.8849 24.1244
angles: 94.62 94.62 90.00
Element x y z (fractional)
1 Bi 0.2243 0.2243 0.4486
2 Ba 0.0425 0.0425 0.0851
3 O 0.3756 0.3756 0.7512
4 O 0.2500 0.7500 0.5000
5 Ba 0.9575 0.9575 0.9149
6 Bi 0.8714 0.8714 0.7428
7 O 0.5854 0.0854 0.1709
8 O 0.6244 0.6244 0.2488
9 O 0.2941 0.2941 0.5881
10 O 0.7500 0.2500 0.5000
11 O 0.1611 0.6611 0.3223
12 Bi 0.1286 0.1286 0.2572
13 O 0.6611 0.1611 0.3223
14 Bi 0.7757 0.7757 0.5514
15 O 0.9146 0.4146 0.8291
16 O 0.0000 0.5000 0.0000
17 O 0.4578 0.4578 0.9156
18 Ti 0.5850 0.5850 0.1700
19 O 0.4146 0.9146 0.8291
20 Ti 0.5000 0.5000 0.0000
21 O 0.3389 0.8389 0.6777
22 O 0.0854 0.5854 0.1709
23 O 0.8389 0.3389 0.6777
24 Ti 0.6689 0.6689 0.3378
25 Ti 0.4150 0.4150 0.8300
26 O 0.5000 0.0000 0.0000
27 Ti 0.3311 0.3311 0.6622
28 O 0.7059 0.7059 0.4119
29 O 0.5422 0.5422 0.0844

E_tot (eV/atom): -22.765
Formation energy from raw total energies (eV per formula unit): -74.5
Magnetic moment (μB/cell): 0.000

=====

No. 3
Compound: BaBi2P2
Source: Alexandria
Functional: SCAN
Structure: single point on PBEsol structure

abc: 5.3910 5.3910 6.3682
angles: 115.04 115.04 90.00
Element x y z (fractional)
1 Bi 0.6623 0.6623 0.3247
2 Bi 0.3377 0.3377 0.6753
3 P 0.7500 0.2500 0.5000
4 Ba 0.0000 0.0000 0.0000
5 P 0.2500 0.7500 0.5000

E_form (eV per atom): -0.2641
E_tot (eV/atom): -43.765
Magnetic moment (μB/cell): 0.000

=====

No. 4
Compound: BaBiP2S
Source: Alexandria
Functional: SCAN
Structure: single point on PBEsol structure

abc: 5.1913 5.1913 5.3490
angles: 90.00 90.00 90.00
Element x y z (fractional)
1 P 0.0000 0.5000 0.0000
2 Bi 0.0000 0.0000 0.0000
3 P 0.5000 0.0000 0.0000
4 S 0.0000 0.0000 0.5000
5 Ba 0.5000 0.5000 0.5000

E_tot (eV/atom): -29.744
Formation energy from raw total energies (eV per formula unit): -0.2
Magnetic moment (μB/cell): 0.000

=====

No. 5
Compound: BaBi2Pb2
Source: Alexandria
Functional: SCAN
Structure: single point on PBEsol structure

abc: 4.7704 4.7704 8.5439
angles: 106.21 106.21 90.00
Element x y z (fractional)
1 Pb 0.7500 0.2500 0.5000
2 Ba 0.0000 0.0000 0.0000
3 Bi 0.4006 0.4006 0.8012
4 Bi 0.5994 0.5994 0.1988
5 Pb 0.2500 0.7500 0.5000

E_form (eV per atom): -0.3961
E_tot (eV/atom): -70.050
Magnetic moment (μB/cell): 0.000

=====

No. 6
Compound: Ba3BiPb
Source: Alexandria
Functional: SCAN
Structure: single point on PBEsol structure

abc: 6.5595 6.5595 6.5595
angles: 90.00 90.00 90.00
Element x y z (fractional)
1 Pb 0.5000 0.5000 0.5000
2 Ba 0.0000 0.0000 0.5000
3 Bi 0.0000 0.0000 0.0000
4 Ba 0.0000 0.5000 0.0000
5 Ba 0.5000 0.0000 0.0000

E_form (eV per atom): -0.4537
E_tot (eV/atom): -55.056
Magnetic moment (μB/cell): 0.001

=====

No. 7
Compound: Ba3Bi6PbSe13
Source: Alexandria
Functional: SCAN
Structure: single point on PBEsol structure

abc: 4.2536 17.2602 18.5452
angles: 90.82 90.00 90.00
Element x y z (fractional)
1 Se 0.2500 0.9598 0.4120
2 Bi 0.7500 0.6886 0.9549
3 Ba 0.7500 0.7476 0.7334
4 Pb 0.2500 0.9863 0.2477
5 Se 0.7500 0.2340 0.1247
6 Se 0.2500 0.4287 0.5129
7 Se 0.2500 0.6249 0.6655
8 Se 0.2500 0.0196 0.0903
9 Se 0.7500 0.8109 0.0583
10 Ba 0.7500 0.2676 0.8234
11 Se 0.2500 0.1966 0.4460
12 Se 0.7500 0.5792 0.8267
13 Ba 0.7500 0.4820 0.6565
14 Bi 0.2500 0.3114 0.0451
15 Se 0.7500 0.8619 0.2391
16 Pb 0.7500 0.0137 0.7523
17 Ba 0.2500 0.7324 0.1766
18 Se 0.7500 0.2775 0.6367
19 Bi 0.7500 0.0811 0.4233
20 Se 0.2500 0.3952 0.7665
21 Bi 0.2500 0.9189 0.5767
22 Se 0.2500 0.6030 0.0330
23 Se 0.7500 0.5713 0.4871
24 Bi 0.7500 0.1032 0.0203
25 Se 0.7500 0.3970 0.9670
26 Bi 0.2500 0.1713 0.6171
27 Se 0.7500 0.3751 0.3345
28 Se 0.7500 0.8034 0.5540
29 Se 0.7500 0.9804 0.9097
30 Bi 0.2500 0.8968 0.9797
31 Se 0.2500 0.7225 0.3633
32 Bi 0.7500 0.8287 0.3829
33 Se 0.2500 0.8920 0.7222
34 Se 0.7500 0.1080 0.2778
35 Ba 0.2500 0.5180 0.3435
36 Se 0.2500 0.4208 0.1733
37 Bi 0.2500 0.6728 0.5240
38 Se 0.2500 0.7660 0.8753
39 Se 0.2500 0.1891 0.9417
40 Se 0.7500 0.0402 0.5880
41 Bi 0.7500 0.5093 0.1147
42 Ba 0.2500 0.2524 0.2666
43 Se 0.7500 0.6048 0.2335
44 Bi 0.7500 0.3272 0.4760
45 Se 0.2500 0.1381 0.7609
46 Bi 0.2500 0.4907 0.8853

E_tot (eV/atom): -41.203
Formation energy from raw total energies (eV per formula unit): -20.7
Magnetic moment (μB/cell): 0.000

=====

No. 8
Compound: BaZnBi2Pb
Source: Alexandria
Functional: SCAN
Structure: single point on PBEsol structure

abc: 5.2570 5.9651 5.9651
angles: 90.00 90.00 90.00
Element x y z (fractional)
1 Bi 0.0000 0.5000 0.0000
2 Ba 0.5000 0.5000 0.5000
3 Zn 0.5000 0.0000 0.0000
4 Bi 0.0000 0.0000 0.5000
5 Pb 0.0000 0.0000 0.0000

E_form (eV per atom): 0.0067
E_tot (eV/atom): -57.194
Magnetic moment (μB/cell): 0.000